1.
The following is a DFT calculation (PBE) of a geometry-optimized CsPa2Hg2O7 structure.

a = 4.3574 Å, b = 4.4145 Å, c = 11.6809 Å
α = 100.87°, β = 100.75°, γ = 90.00°
Atoms (fractional coordinates):
Pa1 0.5992 0.5989 0.1984
O1 0.0989 0.5987 0.1978
O2 0.5000 0.5000 0.0000
O3 0.3991 0.8993 0.7983
O4 0.7022 0.7017 0.4044
Hg1 0.7329 0.2325 0.4657
Cs1 0.0000 0.9999 0.0000
Pa2 0.4008 0.4010 0.8016
O5 0.2978 0.2983 0.5956
O6 0.6009 0.1006 0.2018
Hg2 0.2671 0.7676 0.5342
O7 0.9011 0.4012 0.8022

Values from the calculation:
The raw total energy is -82.7 eV per cell. The space-group type is Immm (71). For the energy relative to the elements, uncorrected, the calculation gives -2.29 eV per atom. As for the magnetic moment: 0.00 μB per cell.

***

2.
The following is a DFT calculation (PBE) of a geometry-optimized As2IrCBr structure.

a = 4.2533 Å, b = 4.2533 Å, c = 4.4188 Å
α = 90.00°, β = 90.00°, γ = 90.00°
Atoms (fractional coordinates):
Ir1 0.5000 0.5000 0.5000
C1 0.0000 0.0000 0.0000
As1 0.0000 0.5000 0.0000
As2 0.5000 0.0000 0.0000
Br1 0.0000 0.0000 0.5000

Values from the calculation:
The raw total energy is -21.8 eV per cell. The space-group type is P4/mmm (123). For the energy relative to the elements, uncorrected, the calculation gives 1.44 eV per atom. As for the magnetic moment: 0.00 μB per cell. The energy relative to the lowest polymorph listed for this composition is 0 meV/atom.

***

3.
The following is a DFT calculation (PBE) of a geometry-optimized Rb2ScAlBr6 structure.

a = 7.9929 Å, b = 7.9929 Å, c = 7.9929 Å
α = 60.00°, β = 60.00°, γ = 90.00°
Atoms (fractional coordinates):
Br1 0.2365 0.2365 0.5270
Br2 0.7635 0.2365 0.0000
Rb1 0.7500 0.2500 0.5000
Br3 0.7635 0.7635 0.0000
Rb2 0.2500 0.7500 0.5000
Br4 0.7635 0.7635 0.4730
Al1 0.5000 0.5000 0.0000
Br5 0.2365 0.7635 0.0000
Sc1 0.0000 0.0000 0.0000
Br6 0.2365 0.2365 0.0000

Values from the calculation:
The raw total energy is -36.3 eV per cell. The space-group type is Fm-3m (225). For the energy relative to the elements, uncorrected, the calculation gives -1.43 eV per atom. As for the magnetic moment: 0.00 μB per cell.